[1]
The following is a PBE-GGA calculation of a relaxed structure of BeTlIrO5, from Alexandria via LeMat-Bulk.

Calculated values
For the uncorrected formation energy, the calculation gives -1.1591 eV per atom. The calculation puts the size of the total moment at 0.21 μB/f.u.

Cell lengths 6.6404, 8.7249, 7.1185 Å; angles 90.00, 115.39, 90.00 degrees
Last column: nearest neighbours and their distance in Å.
Space group C2/c (No. 15)
Symmetry-distinct sites (fractional):
Be 0.0000 0.1866 0.2500 (multiplicity 4)  4 O 1.64-1.69
Tl 0.0000 0.1629 0.7500 (multiplicity 4)  5 O 2.26-2.49
Ir 0.0000 0.5000 0.0000 (multiplicity 4)  6 O 1.91-2.00
O 0.0000 0.4217 0.7500 (multiplicity 4)  2 Ir 1.91
O 0.0924 0.2872 0.1077 (multiplicity 8)  1 Be 1.64
O 0.1891 0.0583 0.4036 (multiplicity 8)  1 Be 1.69



[2]
The following is a PBE-GGA calculation of a relaxed structure of Be2TlIrO8, from Alexandria via LeMat-Bulk.

Calculated values
For the uncorrected formation energy, the calculation gives -0.8088 eV per atom. The calculation puts the size of the total moment at 2.07 μB/f.u.

Cell lengths 5.1986, 5.1986, 6.4090 Å; angles 90.00, 90.00, 120.00 degrees
Last column: nearest neighbours and their distance in Å.
Space group P-3m1 (No. 164)
Symmetry-distinct sites (fractional):
Be 0.3333 0.6667 0.2445 (multiplicity 2)  4 O 1.60-1.63
Tl 0.0000 0.0000 0.0000 (multiplicity 1)  6 O 2.51
Ir 0.0000 0.0000 0.5000 (multiplicity 1)  6 O 1.88
O 0.1631 0.3263 0.3168 (multiplicity 6)  1 Be 1.60
O 0.3333 0.6667 0.9905 (multiplicity 2)  1 Be 1.63



[3]
The following is a PBE-GGA calculation of a relaxed structure of BeTl2IrO, from Alexandria via LeMat-Bulk.

Calculated values
For the uncorrected formation energy, the calculation gives 0.3922 eV per atom. The calculation puts the size of the total moment at 0.00 μB/f.u.

Cell lengths 5.6038, 5.6038, 3.6741 Å; angles 90.00, 90.00, 90.00 degrees
Last column: nearest neighbours and their distance in Å.
Space group P4/mmm (No. 123)
Symmetry-distinct sites (fractional):
Be 0.0000 0.0000 0.0000 (multiplicity 1)  8 Tl 3.35, 2 Be 3.67
Tl 0.0000 0.5000 0.5000 (multiplicity 2)  2 Ir 2.80
Ir 0.5000 0.5000 0.5000 (multiplicity 1)  2 O 1.84
O 0.5000 0.5000 0.0000 (multiplicity 1)  2 Ir 1.84



[4]
The following is a PBE-GGA calculation of a relaxed structure of BeZnIrO6, from Alexandria via LeMat-Bulk.

Calculated values
For the uncorrected formation energy, the calculation gives -0.9489 eV per atom. The calculation puts the size of the total moment at 0.00 μB/f.u.

Cell lengths 4.8387, 4.8387, 8.8587 Å; angles 90.00, 90.00, 120.00 degrees
Last column: nearest neighbours and their distance in Å.
Space group P-31c (No. 163)
Symmetry-distinct sites (fractional):
Be 0.3333 0.6667 0.2500 (multiplicity 2)  6 O 1.82
Zn 0.0000 0.0000 0.0000 (multiplicity 2)  6 O 2.10
Ir 0.3333 0.6667 0.7500 (multiplicity 2)  6 O 1.90
O 0.0115 0.3616 0.1357 (multiplicity 12)  1 Be 1.82, 1 Ir 1.90



[5]
The following is a PBE-GGA calculation of a relaxed structure of BeIrOs, from Alexandria via LeMat-Bulk.

Calculated values
For the energy relative to the elements, the calculation gives 0.17 eV/atom. The calculation puts the energy relative to the lowest polymorph listed for this composition at 103 kJ/mol of formula units. The calculation puts the size of the total moment at 0.00 μB/f.u.

Cell lengths 2.7500, 4.5797, 12.3623 Å; angles 90.00, 90.00, 90.00 degrees
Last column: nearest neighbours and their distance in Å.
Space group Fmm2 (No. 42)
Symmetry-distinct sites (fractional):
Be 0.0000 0.0000 0.0000 (multiplicity 4)  2 Ir 2.31, 2 Os 2.37
Ir 0.0000 0.0000 0.3495 (multiplicity 4)  2 Be 2.31
Os 0.0000 0.0000 0.6558 (multiplicity 4)  2 Be 2.37



[6]
The following is a PBE-GGA calculation of a relaxed structure of BeIrOs, from Alexandria via LeMat-Bulk.

Calculated values
For the energy relative to the elements, the calculation gives -0.01 eV/atom. The calculation puts the energy relative to the lowest polymorph listed for this composition at 53 kJ/mol of formula units. The calculation puts the size of the total moment at 0.00 μB/f.u.

Cell lengths 2.7222, 3.6545, 7.7473 Å; angles 90.00, 90.00, 90.00 degrees
Last column: nearest neighbours and their distance in Å.
Space group Imm2 (No. 44)
Symmetry-distinct sites (fractional):
Be 0.0000 0.0000 0.0000 (multiplicity 2)  5 Ir 2.60-2.61, 5 Os 2.61, 2 Be 2.72
Ir 0.0000 0.0000 0.6639 (multiplicity 2)  5 Os 2.54-2.64, 5 Be 2.60-2.61, 2 Ir 2.72
Os 0.0000 0.0000 0.3365 (multiplicity 2)  5 Ir 2.54-2.64, 5 Be 2.61, 2 Os 2.72



[7]
The following is a PBE-GGA calculation of a relaxed structure of BeIrOs4, from Alexandria via LeMat-Bulk.

Calculated values
For the energy relative to the elements, the calculation gives 0.97 eV/atom. The calculation puts the size of the total moment at 0.01 μB/f.u.

Cell lengths 7.1899, 7.1899, 7.1899 Å; angles 90.00, 90.00, 90.00 degrees
Last column: nearest neighbours and their distance in Å.
Space group F-43m (No. 216)
Symmetry-distinct sites (fractional):
Be 0.0000 0.0000 0.0000 (multiplicity 4)  12 Os 2.98, 4 Ir 3.11
Ir 0.2500 0.2500 0.2500 (multiplicity 4)  12 Os 2.98, 4 Be 3.11
Os 0.1247 0.1247 0.6247 (multiplicity 16)  6 Os 2.54-2.55



[8]
The following is a PBE-GGA calculation of a relaxed structure of BeIrOs, from Alexandria via LeMat-Bulk.

Calculated values
For the energy relative to the elements, the calculation gives -0.03 eV/atom. The calculation puts the energy relative to the lowest polymorph listed for this composition at 46 kJ/mol of formula units. The calculation puts the size of the total moment at 0.00 μB/f.u.

Cell lengths 4.2824, 2.7353, 6.8027 Å; angles 90.00, 99.83, 90.00 degrees
Last column: nearest neighbours and their distance in Å.
Space group P2_1/m (No. 11)
Symmetry-distinct sites (fractional):
Be 0.2486 0.2500 0.0390 (multiplicity 2)  4 Ir 2.35-2.56, 2 Be 2.51, 2 Os 2.52
Ir 0.1922 0.7500 0.7549 (multiplicity 2)  4 Be 2.35-2.56
Os 0.3390 0.7500 0.3555 (multiplicity 2)  2 Be 2.52, 4 Os 2.59-2.74, 4 Ir 2.64-2.65



[9]
The following is a PBE-GGA calculation of a relaxed structure of BeIrOs2, from Alexandria via LeMat-Bulk.

Calculated values
For the energy relative to the elements, the calculation gives 0.04 eV/atom. The calculation puts the size of the total moment at 0.00 μB/f.u.

Cell lengths 2.7455, 3.6897, 5.2971 Å; angles 90.00, 90.00, 90.00 degrees
Last column: nearest neighbours and their distance in Å.
Space group Pmm2 (No. 25)
Symmetry-distinct sites (fractional):
Be 0.0000 0.0000 0.0000 (multiplicity 1)  4 Ir 2.54, 6 Os 2.62-2.70, 2 Be 2.75
Ir 0.5000 0.5000 0.2048 (multiplicity 1)  6 Os 2.50-2.80, 4 Be 2.54, 2 Ir 2.75
Os 0.0000 0.0000 0.5050 (multiplicity 1)  6 Os 2.59-2.75, 2 Be 2.62-2.67, 4 Ir 2.80
Os 0.5000 0.5000 0.7320 (multiplicity 1)  2 Ir 2.50-2.79, 6 Os 2.59-2.75, 4 Be 2.70



[10]
The following is a PBE-GGA calculation of a relaxed structure of BeIrOs2, from Alexandria via LeMat-Bulk.

Calculated values
For the energy relative to the elements, the calculation gives -0.02 eV/atom. The calculation puts the size of the total moment at 0.00 μB/f.u.

Cell lengths 2.8087, 4.3318, 8.4376 Å; angles 90.00, 90.00, 90.00 degrees
Last column: nearest neighbours and their distance in Å.
Space group Imm2 (No. 44)
Symmetry-distinct sites (fractional):
Be 0.0000 0.0000 0.0000 (multiplicity 2)  2 Ir 2.30, 2 Os 2.34
Ir 0.0000 0.5000 0.7161 (multiplicity 2)  2 Be 2.30
Os 0.0000 0.0000 0.5012 (multiplicity 2)  4 Be 2.58, 6 Os 2.72-2.87, 4 Ir 2.79-2.82
Os 0.0000 0.5000 0.2776 (multiplicity 2)  2 Be 2.34



[11]
The following is a PBE-GGA calculation of a relaxed structure of BeIrOs2, from Alexandria via LeMat-Bulk.

Calculated values
For the energy relative to the elements, the calculation gives 0.11 eV/atom. The calculation puts the size of the total moment at 0.00 μB/f.u.

Cell lengths 2.6992, 2.6992, 25.2545 Å; angles 90.00, 90.00, 120.00 degrees
Last column: nearest neighbours and their distance in Å.
Space group R-3m (No. 166, hexagonal axes)
Symmetry-distinct sites (fractional):
Be 0.0000 0.0000 0.0000 (multiplicity 3)  6 Os 2.50, 6 Be 2.70
Ir 0.0000 0.0000 0.5000 (multiplicity 3)  6 Ir 2.70, 6 Os 2.74
Os 0.0000 0.0000 0.2558 (multiplicity 6)  3 Be 2.50, 6 Os 2.70, 3 Ir 2.74



[12]
The following is a PBE-GGA calculation of a relaxed structure of Be2IrOs, from Alexandria via LeMat-Bulk.

Calculated values
For the energy relative to the elements, the calculation gives -0.15 eV/atom. The calculation puts the energy relative to the lowest polymorph listed for this composition at 53 kJ/mol of formula units. The calculation puts the size of the total moment at 0.00 μB/f.u.

Cell lengths 7.4228, 2.6903, 4.7954 Å; angles 90.00, 100.91, 90.00 degrees
Last column: nearest neighbours and their distance in Å.
Space group C2/m (No. 12)
Symmetry-distinct sites (fractional):
Be 0.2485 0.0000 0.2496 (multiplicity 4)  3 Os 2.38-2.43, 3 Ir 2.40-2.41
Ir 0.0000 0.5000 0.0000 (multiplicity 2)  6 Be 2.40-2.41
Os 0.0000 0.0000 0.5000 (multiplicity 2)  6 Be 2.38-2.43



[13]
The following is a PBE-GGA calculation of a relaxed structure of BeIrOs2, from Alexandria via LeMat-Bulk.

Calculated values
For the energy relative to the elements, the calculation gives 0.07 eV/atom. The calculation puts the size of the total moment at 0.00 μB/f.u.

Cell lengths 2.7137, 3.9322, 5.0836 Å; angles 90.00, 103.22, 90.00 degrees
Last column: nearest neighbours and their distance in Å.
Space group P2/m (No. 10)
Symmetry-distinct sites (fractional):
Be 0.0000 0.0000 0.0000 (multiplicity 1)  4 Os 2.38, 2 Ir 2.54
Ir 0.0000 0.0000 0.5000 (multiplicity 1)  2 Be 2.54, 2 Ir 2.71, 8 Os 2.72-2.76
Os 0.3686 0.5000 0.2274 (multiplicity 2)  2 Be 2.38, 1 Os 2.57



[14]
The following is a PBE-GGA calculation of a relaxed structure of BeIrOs2, from Alexandria via LeMat-Bulk.

Calculated values
For the energy relative to the elements, the calculation gives 0.31 eV/atom. The calculation puts the size of the total moment at 0.15 μB/f.u.

Cell lengths 2.7528, 4.6150, 8.4832 Å; angles 90.00, 90.00, 90.00 degrees
Last column: nearest neighbours and their distance in Å.
Space group Cmm2 (No. 35)
Symmetry-distinct sites (fractional):
Be 0.0000 0.0000 0.0000 (multiplicity 2)  2 Ir 2.30, 2 Os 2.38
Ir 0.0000 0.5000 0.2174 (multiplicity 2)  2 Be 2.30
Os 0.0000 0.0000 0.4995 (multiplicity 2)  8 Os 2.68-2.75, 2 Ir 2.76
Os 0.0000 0.5000 0.7709 (multiplicity 2)  2 Be 2.38



[15]
The following is a PBE-GGA calculation of a relaxed structure of BeIrOs2, from Alexandria via LeMat-Bulk.

Calculated values
For the energy relative to the elements, the calculation gives 0.15 eV/atom. The calculation puts the size of the total moment at 0.00 μB/f.u.

Cell lengths 3.7725, 3.7725, 7.5224 Å; angles 90.00, 90.00, 90.00 degrees
Last column: nearest neighbours and their distance in Å.
Space group I-4m2 (No. 119)
Symmetry-distinct sites (fractional):
Be 0.0000 0.0000 0.0000 (multiplicity 2)  8 Os 2.66-2.67, 4 Ir 2.66
Ir 0.0000 0.5000 0.7500 (multiplicity 2)  4 Be 2.66, 8 Os 2.66-2.67
Os 0.0000 0.0000 0.5000 (multiplicity 2)  4 Ir 2.66, 4 Os 2.66, 4 Be 2.67
Os 0.0000 0.5000 0.2500 (multiplicity 2)  4 Be 2.66, 4 Os 2.66, 4 Ir 2.67



[16]
The following is a PBE-GGA calculation of a relaxed structure of Be2IrOs, from Alexandria via LeMat-Bulk.

Calculated values
For the energy relative to the elements, the calculation gives -0.08 eV/atom. The calculation puts the energy relative to the lowest polymorph listed for this composition at 82 kJ/mol of formula units. The calculation puts the size of the total moment at 0.00 μB/f.u.

Cell lengths 2.7974, 3.7325, 4.5563 Å; angles 90.00, 90.00, 90.00 degrees
Last column: nearest neighbours and their distance in Å.
Space group Pmmm (No. 47)
Symmetry-distinct sites (fractional):
Be 0.0000 0.0000 0.0000 (multiplicity 1)  4 Os 2.33
Be 0.5000 0.0000 0.5000 (multiplicity 1)  4 Ir 2.33
Ir 0.0000 0.5000 0.5000 (multiplicity 1)  4 Be 2.33
Os 0.5000 0.5000 0.0000 (multiplicity 1)  4 Be 2.33



[17]
The following is a PBE-GGA calculation of a relaxed structure of BeIrOs2, from Alexandria via LeMat-Bulk.

Calculated values
For the energy relative to the elements, the calculation gives -0.02 eV/atom. The calculation puts the size of the total moment at 0.00 μB/f.u.

Cell lengths 2.7729, 2.7729, 6.5989 Å; angles 90.00, 90.00, 90.00 degrees
Last column: nearest neighbours and their distance in Å.
Space group P4/mmm (No. 123)
Symmetry-distinct sites (fractional):
Be 0.0000 0.0000 0.0000 (multiplicity 1)  8 Os 2.40
Ir 0.0000 0.0000 0.5000 (multiplicity 1)  8 Os 2.74, 4 Ir 2.77
Os 0.5000 0.5000 0.2109 (multiplicity 2)  4 Be 2.40



[18]
The following is a PBE-GGA calculation of a relaxed structure of BeIrOs, from Alexandria via LeMat-Bulk.

Calculated values
For the energy relative to the elements, the calculation gives 0.00 eV/atom. The calculation puts the energy relative to the lowest polymorph listed for this composition at 54 kJ/mol of formula units. The calculation puts the size of the total moment at 0.00 μB/f.u.

Cell lengths 4.0439, 4.0439, 2.6959 Å; angles 90.00, 90.00, 120.00 degrees
Last column: nearest neighbours and their distance in Å.
Space group P-6m2 (No. 187)
Symmetry-distinct sites (fractional):
Be 0.0000 0.0000 0.0000 (multiplicity 1)  3 Ir 2.33
Ir 0.3333 0.6667 0.0000 (multiplicity 1)  3 Be 2.33
Os 0.6667 0.3333 0.5000 (multiplicity 1)  2 Os 2.70, 6 Be 2.70, 6 Ir 2.70



[19]
The following is a PBE-GGA calculation of a relaxed structure of BeIrOs2, from Alexandria via LeMat-Bulk.

Calculated values
For the energy relative to the elements, the calculation gives -0.01 eV/atom. The calculation puts the size of the total moment at 0.00 μB/f.u.

Cell lengths 2.7992, 4.2969, 8.5670 Å; angles 90.00, 90.00, 90.00 degrees
Last column: nearest neighbours and their distance in Å.
Space group Immm (No. 71)
Symmetry-distinct sites (fractional):
Be 0.0000 0.0000 0.0000 (multiplicity 2)  4 Os 2.33, 4 Ir 2.56
Ir 0.0000 0.0000 0.5000 (multiplicity 2)  4 Be 2.56, 2 Ir 2.80, 8 Os 2.80-2.84
Os 0.0000 0.5000 0.2830 (multiplicity 4)  2 Be 2.33



[20]
The following is a PBE-GGA calculation of a relaxed structure of BeIrOs, from Alexandria via LeMat-Bulk.

Calculated values
For the energy relative to the elements, the calculation gives 0.02 eV/atom. The calculation puts the energy relative to the lowest polymorph listed for this composition at 60 kJ/mol of formula units. The calculation puts the size of the total moment at 0.00 μB/f.u.

Cell lengths 2.7011, 2.7011, 6.0942 Å; angles 90.00, 90.00, 120.00 degrees
Last column: nearest neighbours and their distance in Å.
Space group P3m1 (No. 156)
Symmetry-distinct sites (fractional):
Be 0.0000 0.0000 0.0000 (multiplicity 1)  3 Ir 2.46, 3 Os 2.50, 6 Be 2.70
Ir 0.6667 0.3333 0.3129 (multiplicity 1)  3 Be 2.46, 6 Ir 2.70, 3 Os 2.72
Os 0.3333 0.6667 0.6788 (multiplicity 1)  3 Be 2.50, 6 Os 2.70, 3 Ir 2.72